(1)
4
Lattice="2.6970 0.0000 0.0000 1.3485 2.3356 0.0000 1.3485 0.7785 9.3700" Properties=species:S:1:pos:R:3 comment="PBEsol ReAsF2, optimized geometry" e_form_raw_ev_per_atom=-0.83 e_tot_ev_per_cell=-25.6 pbc="T T T"
Re 0.0000 0.0000 0.0000
As 2.6970 1.5571 4.6850
F 4.0455 2.3356 1.8950
F 1.3485 0.7785 7.4751



(2)
5
Lattice="-2.5424 2.1869 2.4477 -3.2821 -1.6570 -1.9287 -0.0390 -3.1160 2.7435" Properties=species:S:1:pos:R:3 comment="PBEsol ReAsF3, optimized geometry" e_form_raw_ev_per_atom=-0.29 e_tot_ev_per_cell=-25.7 pbc="T T T"
Re 0.0000 0.0000 0.0000
As -2.9318 -1.2931 1.6312
F -1.6410 -0.8285 -0.9643
F -0.0195 -1.5580 1.3717
F -1.2712 1.0934 1.2238



(3)
5
Lattice="-2.6081 2.6150 2.9781 -3.9705 -1.7940 -1.9020 0.0778 -3.5379 3.1746" Properties=species:S:1:pos:R:3 comment="PBEsol ReAs2SeF, optimized geometry" e_form_raw_ev_per_atom=0.27 e_tot_ev_per_cell=-28.0 pbc="T T T"
Re 0.0000 0.0000 0.0000
As 0.0389 -1.7690 1.5873
As -1.9853 -0.8970 -0.9510
Se -1.3041 1.3075 1.4891
F -3.2505 -1.3585 2.1254



(4)
5
Lattice="4.4943 0.0000 0.0000 0.0000 5.7195 0.0000 0.0000 0.0000 5.7195" Properties=species:S:1:pos:R:3 comment="PBEsol Sr2AsRhF, optimized geometry" e_form_raw_ev_per_atom=-1.11 e_tot_ev_per_cell=-24.4 pbc="T T T"
Sr 0.0000 0.0000 2.8598
Sr 0.0000 2.8598 0.0000
As 2.2471 0.0000 0.0000
Rh 0.0000 0.0000 0.0000
F 2.2471 2.8598 2.8598



(5)
5
Lattice="-2.8321 2.5126 1.6453 -2.5560 -3.2039 0.4931 1.5771 -0.6804 3.7538" Properties=species:S:1:pos:R:3 comment="PBEsol AsRu3F, optimized geometry" e_form_raw_ev_per_atom=1.06 e_above_lowest_polymorph_mev_per_atom=0 e_tot_ev_per_cell=-32.2 pbc="T T T"
Ru -1.2780 -1.6019 0.2465
Ru 0.7885 -0.3402 1.8769
Ru -1.4160 1.2563 0.8227
As -1.9055 -0.6859 2.9461
F 0.0000 0.0000 0.0000



(6)
5
Lattice="-3.8045 -0.2831 2.7472 0.6035 -4.6969 0.3517 2.7235 0.6373 3.8373" Properties=species:S:1:pos:R:3 comment="PBEsol AsRuSe2F, optimized geometry" e_form_raw_ev_per_atom=0.31 e_tot_ev_per_cell=-23.4 pbc="T T T"
Ru 0.0000 0.0000 0.0000
As -1.9023 -0.1416 1.3736
Se 1.3617 0.3186 1.9187
Se 0.3017 -2.3484 0.1759
F -0.2388 -2.1713 3.4681



(7)
5
Lattice="-3.7433 1.5933 -1.1014 -0.7332 -3.3838 -2.4034 -1.7928 -1.9430 3.2825" Properties=species:S:1:pos:R:3 comment="PBEsol AsSF3, optimized geometry" e_form_raw_ev_per_atom=-0.09 e_tot_ev_per_cell=-15.7 pbc="T T T"
As -3.1346 -1.8667 -0.1112
S 0.0000 0.0000 0.0000
F -0.3666 -1.6919 -1.2017
F -0.8964 -0.9715 1.6412
F -1.8716 0.7967 -0.5507



(8)
28
Lattice="6.2079 0.0000 0.0156 0.0000 9.5671 0.0000 -0.3955 0.0000 10.4797" Properties=species:S:1:pos:R:3 comment="PBEsol SbAs3Se4F6, optimized geometry" e_form_raw_ev_per_atom=-1.24 e_tot_ev_per_cell=-128.3 pbc="T T T"
As 0.1794 2.3918 5.1314
As 5.6330 7.1754 5.3639
As 6.0487 1.1450 1.6342
As -0.2363 5.9286 8.8611
As -0.2363 8.4221 8.8611
As 6.0487 3.6385 1.6342
F 1.9065 3.7443 7.7998
F 3.9059 8.5279 2.6955
F 3.9059 5.8229 2.6955
F 1.9065 1.0393 7.7998
F 4.2142 2.3918 7.4235
F 1.5982 7.1754 3.0718
F 3.8264 1.0565 9.7216
F 1.9860 5.8401 0.7737
F 1.9860 8.5106 0.7737
F 3.8264 3.7270 9.7216
F 1.5057 2.3918 10.1348
F 4.3067 7.1754 0.3605
Sb 2.8376 2.3918 8.7662
Sb 2.9748 7.1754 1.7291
Se 4.0015 2.3918 2.3543
Se 1.8109 7.1754 8.1410
Se 0.7632 0.5753 3.6914
Se 5.0492 5.3589 6.8039
Se 5.0492 8.9918 6.8039
Se 0.7632 4.2082 3.6914
Se 4.0290 2.3918 4.6753
Se 1.7835 7.1754 5.8200



What did the first record say?
4
Lattice="2.6970 0.0000 0.0000 1.3485 2.3356 0.0000 1.3485 0.7785 9.3700" Properties=species:S:1:pos:R:3 comment="PBEsol ReAsF2, optimized geometry" e_form_raw_ev_per_atom=-0.83 e_tot_ev_per_cell=-25.6 pbc="T T T"
Re 0.0000 0.0000 0.0000
As 2.6970 1.5571 4.6850
F 4.0455 2.3356 1.8950
F 1.3485 0.7785 7.4751